# YTl3W2O9 (GGA+U, relaxed)
data_YTl3W2O9
_chemical_formula_sum 'Y1 Tl3 W2 O9'
_symmetry_space_group_name_H-M 'P 1'
_symmetry_Int_Tables_number 1
_symmetry_space_group_name_Hall 'P 1'
_cell_length_a 5.893
_cell_length_b 5.893
_cell_length_c 7.296
_cell_angle_alpha 90.00
_cell_angle_beta 90.00
_cell_angle_gamma 120.00
loop_
_atom_site_label
_atom_site_type_symbol
_atom_site_fract_x
_atom_site_fract_y
_atom_site_fract_z
_atom_site_occupancy
Y1 Y 0.000 0.000 0.500 1
Tl1 Tl 0.333 0.667 0.669 1
Tl2 Tl 0.000 0.000 0.000 1
Tl3 Tl 0.667 0.333 0.331 1
W1 W 0.333 0.667 0.163 1
W2 W 0.667 0.333 0.837 1
O1 O 0.821 0.179 0.691 1
O2 O 0.821 0.642 0.691 1
O3 O 0.358 0.179 0.691 1
O4 O 0.642 0.821 0.309 1
O5 O 0.179 0.358 0.309 1
O6 O 0.179 0.821 0.309 1
O7 O 0.500 0.000 0.000 1
O8 O 0.000 0.500 0.000 1
O9 O 0.500 0.500 0.000 1
# Size of the total moment   0.000 μB/f.u.
# Symmetry   P-3m1
# DFT total energy   -6.726 eV per atom